[1]
# PBE-GGA PrNd2Cd3AgAu2, relaxed
data_PrNd2Cd3AgAu2
_chemical_formula_sum 'Pr2 Nd4 Cd6 Ag2 Au4'
_cell_length_a 3.9654
_cell_length_b 13.9099
_cell_length_c 8.0229
_cell_angle_alpha 90.00
_cell_angle_beta 90.00
_cell_angle_gamma 90.00
_symmetry_space_group_name_H-M 'A m m 2'
_symmetry_Int_Tables_number 38
loop_
_symmetry_equiv_pos_as_xyz
'x,y,z'
'-x,-y,z'
'-x,y,z'
'x,-y,z'
'x,y+1/2,z+1/2'
'-x,-y+1/2,z+1/2'
'-x,y+1/2,z+1/2'
'x,-y+1/2,z+1/2'
loop_
_atom_site_label
_atom_site_type_symbol
_atom_site_fract_x
_atom_site_fract_y
_atom_site_fract_z
Pr1 Pr 0.0000 0.0000 0.0000
Nd1 Nd 0.0000 0.2036 0.6106
Cd1 Cd 0.5000 0.0000 0.6653
Cd2 Cd 0.5000 0.1299 0.2778
Ag1 Ag 0.0000 0.0000 0.4075
Au1 Au 0.5000 0.1674 0.9065
# - energy (eV per formula unit) = -31.475
# - DFT formation energy (meV per atom) = -570.1

[2]
# PBE-GGA Nd2YCd3AgAu2, relaxed
data_Nd2YCd3AgAu2
_chemical_formula_sum 'Nd4 Y2 Cd6 Ag2 Au4'
_cell_length_a 3.9304
_cell_length_b 13.7663
_cell_length_c 7.9795
_cell_angle_alpha 90.00
_cell_angle_beta 90.00
_cell_angle_gamma 90.00
_symmetry_space_group_name_H-M 'A m m 2'
_symmetry_Int_Tables_number 38
loop_
_symmetry_equiv_pos_as_xyz
'x,y,z'
'-x,-y,z'
'-x,y,z'
'x,-y,z'
'x,y+1/2,z+1/2'
'-x,-y+1/2,z+1/2'
'-x,y+1/2,z+1/2'
'x,-y+1/2,z+1/2'
loop_
_atom_site_label
_atom_site_type_symbol
_atom_site_fract_x
_atom_site_fract_y
_atom_site_fract_z
Nd1 Nd 0.0000 0.2036 0.0000
Y1 Y 0.0000 0.0000 0.3883
Cd1 Cd 0.5000 0.0000 0.0585
Cd2 Cd 0.5000 0.1286 0.6648
Ag1 Ag 0.0000 0.0000 0.7946
Au1 Au 0.5000 0.1638 0.2981
# - energy (eV per formula unit) = -33.220
# - DFT formation energy (meV per atom) = -576.1